DFT (PBEsol) results for an optimized crystal structure of ReTeBr2. Values from VASP.

Computed properties:
volume: 20.21 Å³/atom
crystal system: orthorhombic
ΔE to the lowest computed polymorph: 0.6306 eV per atom
size of the total moment: 0.00 μB/cell
formation energy without anion corrections: 1313 meV/atom

```
&SYSTEM
  ibrav = 0, nat = 4, ntyp = 3
/
ATOMIC_SPECIES
Re 186.21 Re.upf
Te 127.60 Te.upf
Br 79.90 Br.upf
ATOMIC_POSITIONS angstrom
Re 0.000 0.000 0.000
Te 3.080 0.000 0.000
Br 1.540 2.160 1.519
Br 1.540 -2.160 1.519
CELL_PARAMETERS angstrom
3.080 -4.320 0.000
3.080 4.320 0.000
0.000 0.000 3.038
```

DFT (PBEsol) results for an optimized crystal structure of FeHgP3. Values from VASP.

Computed properties:
volume: 16.68 Å³/atom
crystal system: cubic
size of the total moment: 0.00 μB/cell
E_form: 0.448 eV/atom

```
&SYSTEM
  ibrav = 0, nat = 5, ntyp = 3
/
ATOMIC_SPECIES
Fe 55.84 Fe.upf
Hg 200.59 Hg.upf
P 30.97 P.upf
ATOMIC_POSITIONS angstrom
Fe 0.000 0.000 0.000
Hg 2.185 2.185 2.185
P 0.000 0.000 2.185
P 0.000 2.185 0.000
P 2.185 0.000 0.000
CELL_PARAMETERS angstrom
4.369 0.000 0.000
0.000 4.369 0.000
0.000 0.000 4.369
```

DFT (PBEsol) results for an optimized crystal structure of TbFeC2. Values from VASP.

Computed properties:
volume: 11.87 Å³/atom
crystal system: orthorhombic
size of the total moment: 0.76 μB/cell
E_form: -0.334 eV/atom

```
&SYSTEM
  ibrav = 0, nat = 4, ntyp = 3
/
ATOMIC_SPECIES
Tb 158.93 Tb.upf
Fe 55.84 Fe.upf
C 12.01 C.upf
ATOMIC_POSITIONS angstrom
Tb 0.000 0.000 0.000
Fe 1.812 0.000 3.538
C 1.812 -0.705 1.704
C 1.812 0.705 1.704
CELL_PARAMETERS angstrom
3.625 0.000 0.000
0.000 2.249 2.912
0.000 -2.249 2.912
```

DFT (PBEsol) results for an optimized crystal structure of BaMg2Cr. Values from VASP.

Computed properties:
volume: 28.68 Å³/atom
crystal system: orthorhombic
ΔE to the lowest computed polymorph: 0.0000 eV per atom
size of the total moment: 4.32 μB/cell
E_form: 0.586 eV/atom

```
&SYSTEM
  ibrav = 0, nat = 4, ntyp = 3
/
ATOMIC_SPECIES
Ba 137.33 Ba.upf
Mg 24.30 Mg.upf
Cr 52.00 Cr.upf
ATOMIC_POSITIONS angstrom
Ba 0.000 0.000 0.000
Mg 0.000 2.325 2.658
Mg 2.320 0.000 2.658
Cr 2.320 2.325 0.000
CELL_PARAMETERS angstrom
4.639 0.000 0.000
0.000 4.651 0.000
0.000 0.000 5.317
```

DFT (PBEsol) results for an optimized crystal structure of Mg2ZnCu. Values from VASP.

Computed properties:
volume: 16.42 Å³/atom
crystal system: orthorhombic
size of the total moment: 0.00 μB/cell
E_form: -0.084 eV/atom

```
&SYSTEM
  ibrav = 0, nat = 8, ntyp = 3
/
ATOMIC_SPECIES
Mg 24.30 Mg.upf
Zn 65.41 Zn.upf
Cu 63.55 Cu.upf
ATOMIC_POSITIONS angstrom
Mg 1.522 1.039 1.233
Mg 1.522 -1.039 3.700
Mg 6.563 1.039 1.233
Mg 6.563 -1.039 3.700
Zn 4.042 2.116 1.233
Zn 4.042 -2.116 3.700
Cu 4.042 0.000 0.000
Cu 4.042 0.000 2.467
CELL_PARAMETERS angstrom
4.042 -3.293 0.000
4.042 3.293 0.000
0.000 0.000 4.933
```

DFT (PBEsol) results for an optimized crystal structure of Mg3HPd. Values from VASP.

Computed properties:
volume: 14.46 Å³/atom
crystal system: cubic
total DFT energy (no corrections): -3.17 eV/atom
size of the total moment: 0.00 μB/cell

```
&SYSTEM
  ibrav = 0, nat = 5, ntyp = 3
/
ATOMIC_SPECIES
Mg 24.30 Mg.upf
H 1.01 H.upf
Pd 106.42 Pd.upf
ATOMIC_POSITIONS angstrom
Mg 0.000 0.000 2.083
Mg 0.000 2.083 0.000
Mg 2.083 0.000 0.000
H 0.000 0.000 0.000
Pd 2.083 2.083 2.083
CELL_PARAMETERS angstrom
4.166 0.000 0.000
0.000 4.166 0.000
0.000 0.000 4.166
```

Question: volume of number 6 (Mg3HPd)?
Answer: 14.46 Å³/atom

Question: Which of these has the highest volume?
Answer: BaMg2Cr

Question: What is the formula in the first record?
Answer: ReTeBr2

Question: Which value of volume does entry 5 give?
Answer: 16.42 Å³/atom